The following is a DFT calculation (GGA-PBE) of a relaxed ScCd2Si crystal.

Properties
Formation energy (no corrections): -0.076 eV per atom

Cell lengths 10.1154, 3.2066, 5.6265 Å; angles 90.00, 113.68, 90.00 degrees
Space group Cm (No. 8)
Inequivalent atoms, fractional coordinates:
Sc (0.0000, 0.0000, 0.0000) [2 per cell]
Cd (0.2194, 0.0000, 0.6196) [2 per cell]
Cd (0.4499, 0.0000, 0.4570) [2 per cell]
Si (0.2391, 0.5000, 0.0579) [2 per cell]